No. 1
Tb2PmTe | PBE-GGA | optimized geometry

Calculated values
* distance to the lowest polymorph of the same formula: 0.0 meV per atom
* mass density: 8.1 Mg/m³
* space-group type: Cmcm (63)
* ΔE_f (raw): -258 kJ/mol of formula units
* size of the total moment: 0.0001 μB/atom

Cell and atoms, written as extended XYZ:
```
8
Lattice="3.9934 0.0005 0.0000 -1.9960 6.1056 0.0000 0.0000 0.0000 9.9637" Properties=species:S:1:pos:R:3 pbc="T T T"
Tb 1.9976 1.6603 4.6287
Tb -0.0002 4.4458 5.3350
Tb -0.0002 4.4458 9.6105
Tb 1.9976 1.6603 0.3531
Pm 0.0000 0.6861 7.4727
Pm 1.9974 5.4199 2.4909
Te 1.9966 3.2748 7.4727
Te 0.0008 2.8312 2.4909
```

---

No. 2
Tb2Pm3Te8 | PBE-GGA | optimized geometry

Calculated values
* mass density: 5.9 Mg/m³
* space-group type: C2/m (12)
* ΔE_f (raw): -1579 kJ/mol of formula units
* size of the total moment: 0.0000 μB/atom

Cell and atoms, written as extended XYZ:
```
13
Lattice="-2.8747 -2.9374 -6.4193 3.8241 -7.7624 1.8395 -6.9789 2.7512 4.8451" Properties=species:S:1:pos:R:3 pbc="T T T"
Te 0.4180 -7.3395 0.1527
Te -1.5092 -3.4276 -0.7744
Te -6.4475 -0.6091 0.1126
Te -4.5203 -4.5211 1.0397
Te -1.8549 -6.7694 -3.4372
Te -2.1291 -4.9652 4.7461
Te -4.1746 -1.1792 3.7025
Te -3.9004 -2.9834 -4.4809
Pm 2.8346 -5.7539 1.3635
Pm 0.9895 -2.0085 0.4760
Pm -1.4374 -1.4687 -3.2097
Tb -2.5365 -6.4051 -0.4831
Tb -3.4930 -1.5435 0.7483
```

---

No. 3
Tb3PmTe6 | PBE-GGA | optimized geometry

Calculated values
* distance to the lowest polymorph of the same formula: 179.5 meV per atom
* mass density: 6.1 Mg/m³
* space-group type: C2/m (12)
* ΔE_f (raw): -1185 kJ/mol of formula units
* size of the total moment: 0.0000 μB/atom

Cell and atoms, written as extended XYZ:
```
10
Lattice="-5.6707 0.1690 -4.9715 0.8538 -4.3291 -6.8972 -4.5971 -6.7327 -0.7613" Properties=species:S:1:pos:R:3 pbc="T T T"
Te -7.3410 -7.0150 -6.2722
Te -3.1979 -8.3203 -6.1001
Te -2.0728 -3.8778 -6.3577
Te -4.8141 -5.0865 -3.2720
Te -4.5997 -5.8063 -9.3580
Te -6.2160 -2.5725 -6.5298
Tb -2.7950 -2.7060 -3.5430
Tb 0.0000 0.0000 0.0000
Tb -6.6189 -8.1868 -9.0869
Pm -4.7069 -5.4464 -6.3150
```

---

No. 4
Tb2PmTe3 | PBE-GGA | optimized geometry

Calculated values
* mass density: 7.7 Mg/m³
* space-group type: Immm (71)
* ΔE_f (raw): -777 kJ/mol of formula units
* size of the total moment: 0.0000 μB/atom

Cell and atoms, written as extended XYZ:
```
6
Lattice="4.4285 0.0000 0.0000 0.0000 6.2053 0.0000 -2.2143 -3.1026 6.5940" Properties=species:S:1:pos:R:3 pbc="T T T"
Te 1.1071 -1.5513 3.2970
Te -1.1071 1.5513 5.5774
Te 3.3214 1.5513 1.0166
Tb -1.1071 -1.5513 5.4069
Tb 3.3214 4.6540 1.1870
Pm 1.1071 1.5513 3.2970
```

---

No. 5
Tb2PmTe | PBE-GGA | optimized geometry

Calculated values
* distance to the lowest polymorph of the same formula: 107.0 meV per atom
* mass density: 8.1 Mg/m³
* space-group type: P4/mmm (123)
* ΔE_f (raw): -217 kJ/mol of formula units
* size of the total moment: 0.0000 μB/atom

Cell and atoms, written as extended XYZ:
```
4
Lattice="3.8860 0.0000 0.0000 0.0000 3.8860 0.0000 0.0000 0.0000 7.9889" Properties=species:S:1:pos:R:3 pbc="T T T"
Te 1.9430 1.9430 3.9945
Tb 0.0000 0.0000 5.7502
Tb 0.0000 0.0000 2.2388
Pm 1.9430 1.9430 0.0000
```

---

No. 6
Tb3PmTe2 | PBE-GGA | optimized geometry

Calculated values
* mass density: 8.1 Mg/m³
* space-group type: C2/m (12)
* ΔE_f (raw): -472 kJ/mol of formula units
* size of the total moment: 0.0001 μB/atom

Cell and atoms, written as extended XYZ:
```
12
Lattice="-3.6945 -1.3501 -0.3775 2.6256 1.6128 -10.7842 2.3754 -8.3047 6.4546" Properties=species:S:1:pos:R:3 pbc="T T T"
Tb 0.2740 -7.1138 2.0788
Tb 1.1298 -3.5875 1.7734
Tb -0.3234 -4.6002 -1.0640
Tb 1.0325 -0.9282 -6.7859
Tb 0.1767 -4.4545 -6.4805
Tb 1.6299 -3.4418 -3.6430
Pm 0.4446 -0.7471 -1.6796
Pm 0.8619 -7.2949 -3.0274
Te -1.0171 -1.7591 -4.4362
Te -1.4004 -2.1392 0.6747
Te 2.7069 -5.9027 -5.3818
Te 2.3236 -6.2829 -0.2708
```

---

No. 7
Tb2PmTe | PBE-GGA | optimized geometry

Calculated values
* distance to the lowest polymorph of the same formula: 127.5 meV per atom
* mass density: 7.5 Mg/m³
* space-group type: R3m (160)
* ΔE_f (raw): -209 kJ/mol of formula units
* size of the total moment: 0.0153 μB/atom

Cell and atoms, written as extended XYZ:
```
4
Lattice="3.9174 0.0000 0.0000 1.9587 3.3926 0.0000 1.9587 1.1309 9.8856" Properties=species:S:1:pos:R:3 pbc="T T T"
Pm 3.9174 2.2617 4.9504
Tb 1.9587 1.1309 2.1011
Tb 1.9587 1.1309 7.7784
Te 5.8761 3.3926 9.8841
```

---

No. 8
Tb2PmTe | PBE-GGA | optimized geometry

Calculated values
* distance to the lowest polymorph of the same formula: 415.6 meV per atom
* mass density: 7.1 Mg/m³
* space-group type: R-3m (166)
* ΔE_f (raw): -98 kJ/mol of formula units
* size of the total moment: 0.3495 μB/atom

Cell and atoms, written as extended XYZ:
```
4
Lattice="3.8579 0.0000 0.0000 1.9289 3.3410 0.0000 1.9289 1.1137 10.7744" Properties=species:S:1:pos:R:3 pbc="T T T"
Tb 5.7868 3.3410 3.3338
Tb 1.9289 1.1137 7.4406
Pm 0.0000 0.0000 0.0000
Te 3.8579 2.2273 5.3872
```

---

No. 9
TbPmTe6 | PBE-GGA | optimized geometry

Calculated values
* mass density: 6.9 Mg/m³
* space-group type: Amm2 (38)
* ΔE_f (raw): -736 kJ/mol of formula units
* size of the total moment: 0.0000 μB/atom

Cell and atoms, written as extended XYZ:
```
8
Lattice="4.2995 0.0000 -0.7386 0.0000 4.3642 0.0000 0.1366 0.0000 13.6781" Properties=species:S:1:pos:R:3 pbc="T T T"
Pm 0.7883 2.1821 4.5888
Te 3.1040 0.0000 5.1854
Te 1.9256 0.0000 11.2089
Te 2.5039 2.1821 1.6926
Te 4.0749 2.1821 10.8373
Te 0.3546 0.0000 2.0639
Te 1.3435 2.1821 7.8206
Tb 3.6495 0.0000 8.3606
```

---

No. 10
Tb3Pm5Te8 | PBE-GGA | optimized geometry

Calculated values
* mass density: 7.5 Mg/m³
* space-group type: R-3m (166)
* ΔE_f (raw): -2111 kJ/mol of formula units
* size of the total moment: 0.0000 μB/atom

Cell and atoms, written as extended XYZ:
```
16
Lattice="2.1201 8.5814 -0.3587 1.7096 4.4493 7.4529 8.3034 2.5841 1.8032" Properties=species:S:1:pos:R:3 pbc="T T T"
Tb 4.1517 1.2920 0.9016
Tb 5.2118 5.5828 0.7222
Tb 5.0065 3.5167 4.6281
Pm 1.9149 6.5154 3.5471
Pm 1.0600 4.2907 -0.1794
Pm 0.8548 2.2246 3.7264
Pm 6.0666 7.8074 4.4487
Pm 0.0000 0.0000 0.0000
Te 8.0032 7.4307 6.8838
Te 4.1299 8.1841 2.0136
Te 4.9942 10.4334 5.7814
Te 8.2107 9.5197 2.9346
Te 9.0423 11.7255 6.6776
Te 7.1389 5.1814 3.1160
Te 3.9224 6.0951 5.9628
Te 3.0908 3.8893 2.2197
```

---

No. 11
Tb6PmTe8 | PBE-GGA | optimized geometry

Calculated values
* distance to the lowest polymorph of the same formula: 131.9 meV per atom
* mass density: 7.6 Mg/m³
* space-group type: R-3 (148)
* ΔE_f (raw): -1824 kJ/mol of formula units
* size of the total moment: 0.0000 μB/atom

Cell and atoms, written as extended XYZ:
```
15
Lattice="-7.4890 3.3321 -0.3354 -2.8886 1.4292 7.5442 0.2972 8.0072 1.7602" Properties=species:S:1:pos:R:3 pbc="T T T"
Te -7.2599 4.9076 6.9182
Te -7.1055 4.0234 2.6979
Te -6.8057 8.6206 6.0553
Te -2.8205 7.8609 2.0507
Te -2.9732 4.4546 6.7283
Te -2.9749 8.7451 6.2711
Te -3.2747 4.1479 2.9136
Te -7.1072 8.3139 2.2406
Tb -1.7010 6.4607 4.6086
Tb -5.3684 3.1392 5.2152
Tb -4.7959 6.7202 7.8010
Tb -8.3795 6.3078 4.3603
Tb -5.2845 6.0483 1.1679
Tb -4.7120 9.6293 3.7537
Pm 0.0000 0.0000 0.0000
```

---

No. 12
Tb5PmTe4 | PBE-GGA | optimized geometry

Calculated values
* mass density: 7.1 Mg/m³
* space-group type: Pmmn (59)
* ΔE_f (raw): -764 kJ/mol of formula units
* size of the total moment: 0.0001 μB/atom

Cell and atoms, written as extended XYZ:
```
20
Lattice="7.5786 0.0000 0.0000 0.0000 9.1742 0.0000 0.0000 0.0000 9.8042" Properties=species:S:1:pos:R:3 pbc="T T T"
Tb 5.7781 6.3835 6.7928
Tb 5.7781 2.7907 3.0114
Tb 1.8005 1.7964 1.8907
Tb 1.8005 7.3777 1.8907
Tb 5.7781 2.7907 6.7928
Tb 1.8005 1.7964 7.9135
Tb 5.9044 4.5871 0.0000
Tb 1.6741 0.0000 4.9021
Tb 1.8005 7.3777 7.9135
Tb 5.7781 6.3835 3.0114
Te 0.5777 4.5871 1.9488
Te 3.3731 6.7232 4.9021
Te 7.0009 0.0000 2.9533
Te 4.2054 7.0380 0.0000
Te 3.3731 2.4510 4.9021
Te 7.0009 0.0000 6.8509
Te 0.5777 4.5871 7.8555
Te 4.2054 2.1361 0.0000
Pm 1.0969 4.5871 4.9021
Pm 6.4816 0.0000 0.0000
```

---

No. 13
TbPm4Te5 | PBE-GGA | optimized geometry

Calculated values
* mass density: 7.3 Mg/m³
* space-group type: I4/mmm (139)
* ΔE_f (raw): -1340 kJ/mol of formula units
* size of the total moment: 0.0000 μB/atom

Cell and atoms, written as extended XYZ:
```
10
Lattice="-3.8398 2.1505 -0.5052 -1.8270 -3.6611 -1.6979 -1.6138 -3.7691 15.6423" Properties=species:S:1:pos:R:3 pbc="T T T"
Pm -3.5263 -3.5874 11.5296
Pm -5.5596 -3.5288 7.8121
Pm -3.7543 -1.6922 1.9095
Pm -1.7210 -1.7508 5.6270
Te -0.8532 -0.8680 2.7897
Te -2.8334 -0.7553 -1.1016
Te -4.6464 -2.5997 4.8262
Te -2.6342 -2.6799 8.6129
Te -6.4274 -4.4116 10.6494
Tb 0.0000 0.0000 0.0000
```

---

No. 14
TbPmTe | PBE-GGA | optimized geometry

Calculated values
* distance to the lowest polymorph of the same formula: 14.8 meV per atom
* mass density: 7.5 Mg/m³
* space-group type: C2/m (12)
* ΔE_f (raw): -223 kJ/mol of formula units
* size of the total moment: 0.0000 μB/atom

Cell and atoms, written as extended XYZ:
```
12
Lattice="4.0601 0.0000 0.0000 0.0000 11.2265 0.4140 -2.0301 -0.8184 8.3428" Properties=species:S:1:pos:R:3 pbc="T T T"
Pm 2.0301 6.4881 8.2018
Pm 0.0000 3.9200 0.5550
Pm 0.0000 1.1870 6.5017
Pm 2.0301 9.2211 2.2550
Tb 2.0301 9.8400 5.5445
Tb 2.0301 3.3779 4.2941
Tb 0.0000 7.0302 4.4626
Tb 0.0000 0.5681 3.2123
Te 0.0000 4.5102 6.5575
Te 2.0301 1.6869 1.3069
Te 2.0301 5.8979 2.1993
Te 0.0000 8.7212 7.4499
```

---

No. 15
Tb3PmTe6 | PBE-GGA | optimized geometry

Calculated values
* distance to the lowest polymorph of the same formula: 0.0 meV per atom
* mass density: 6.9 Mg/m³
* space-group type: P2_1/m (11)
* ΔE_f (raw): -1358 kJ/mol of formula units
* size of the total moment: 0.0000 μB/atom

Cell and atoms, written as extended XYZ:
```
20
Lattice="4.3922 0.0000 0.0000 0.0000 11.8291 -4.1210 0.0000 -0.0184 12.8837" Properties=species:S:1:pos:R:3 pbc="T T T"
Te 1.0980 2.2841 2.4282
Te 3.2941 5.7116 5.9632
Te 1.0980 6.0991 2.7994
Te 3.2941 4.6427 -0.8332
Te 3.2941 10.8225 -2.4969
Te 1.0980 2.9984 8.2410
Te 1.0980 0.9882 11.2595
Te 1.0980 7.1680 9.5959
Te 1.0980 10.4762 3.2056
Te 3.2941 8.8124 0.5217
Te 3.2941 9.5267 6.3345
Te 3.2941 1.3345 5.5571
Pm 1.0980 11.2823 -0.0135
Pm 3.2941 0.5284 8.7761
Tb 3.2941 1.8367 0.4048
Tb 1.0980 3.7442 5.1074
Tb 1.0980 6.7028 -0.1956
Tb 3.2941 8.0665 3.6553
Tb 1.0980 9.9740 8.3579
Tb 3.2941 5.1080 8.9582
```

---

No. 16
Tb2PmTe5 | PBE-GGA | optimized geometry

Calculated values
* mass density: 7.6 Mg/m³
* space-group type: I4/mcm (140)
* ΔE_f (raw): -935 kJ/mol of formula units
* size of the total moment: 0.0000 μB/atom

Cell and atoms, written as extended XYZ:
```
16
Lattice="-6.2274 -5.2803 0.2526 4.8883 -5.9005 -2.8308 2.4358 3.8289 8.0108" Properties=species:S:1:pos:R:3 pbc="T T T"
Te 4.1449 -0.3651 4.1959
Te 0.5541 1.6129 5.6578
Te 0.5426 -8.9648 -0.2252
Te -1.6595 -2.1137 5.2629
Te -0.6695 -5.5904 -1.2891
Te 1.9313 -4.0917 3.8010
Te 0.0000 0.0000 0.0000
Te -3.0482 -6.9868 1.2367
Te 2.7562 -5.2382 0.1698
Te -0.8346 -3.2602 1.6316
Pm 0.8831 -0.8807 3.3609
Pm 0.2136 -6.4711 2.0718
Tb -2.1037 -8.3243 -1.6287
Tb 0.7646 -2.8566 -0.9495
Tb 1.9770 -6.8513 -2.3149
Tb -3.3160 -4.3295 -0.2633
```

---

No. 17
Tb3PmTe4 | PBE-GGA | optimized geometry

Calculated values
* mass density: 7.8 Mg/m³
* space-group type: Cmmm (65)
* ΔE_f (raw): -1029 kJ/mol of formula units
* size of the total moment: 0.0000 μB/atom

Cell and atoms, written as extended XYZ:
```
8
Lattice="-3.5297 -0.6670 2.4361 4.4162 -2.5343 5.7049 -0.9078 7.5552 0.7532" Properties=species:S:1:pos:R:3 pbc="T T T"
Te 2.6131 3.7395 4.8100
Te 0.8954 1.2813 1.6481
Te 1.3063 -0.3188 5.6720
Te -1.3276 4.6727 3.2223
Pm -1.7649 -0.3335 1.2180
Tb -0.4539 3.7776 0.3766
Tb 2.2081 -1.2671 2.8525
Tb -0.0106 2.1769 4.4471
```

---

No. 18
TbPm4Te5 | PBE-GGA | optimized geometry

Calculated values
* mass density: 7.4 Mg/m³
* space-group type: I4 (79)
* ΔE_f (raw): -1339 kJ/mol of formula units
* size of the total moment: 0.0000 μB/atom

Cell and atoms, written as extended XYZ:
```
10
Lattice="-4.5406 -0.1478 4.3537 2.5950 -0.0352 7.2523 -2.4163 6.9549 2.2632" Properties=species:S:1:pos:R:3 pbc="T T T"
Pm -3.0758 4.0088 10.5764
Pm -1.2930 2.7629 3.2993
Pm -2.7008 5.3947 6.4674
Pm -1.6679 1.3770 7.4083
Te -5.0116 5.4983 8.6083
Te -2.2794 -0.0742 2.1856
Te -3.6853 2.6351 5.3472
Te 0.6426 1.2734 5.2676
Te -0.6836 4.1366 8.5288
Tb -0.0099 -0.0003 0.0095
```

---

No. 19
TbPmTe | PBE-GGA | optimized geometry

Calculated values
* distance to the lowest polymorph of the same formula: 0.0 meV per atom
* mass density: 7.9 Mg/m³
* space-group type: I4mm (107)
* ΔE_f (raw): -227 kJ/mol of formula units
* size of the total moment: 0.0000 μB/atom

Cell and atoms, written as extended XYZ:
```
3
Lattice="3.9283 0.0000 0.0000 0.0000 3.9283 0.0000 -1.9642 -1.9642 5.8725" Properties=species:S:1:pos:R:3 pbc="T T T"
Te 1.9642 1.9642 1.8932
Tb 0.0000 0.0000 0.1815
Pm 0.0000 0.0000 3.7978
```

---

No. 20
Tb5PmTe6 | PBE-GGA | optimized geometry

Calculated values
* mass density: 7.9 Mg/m³
* space-group type: C2/m (12)
* ΔE_f (raw): -1538 kJ/mol of formula units
* size of the total moment: 0.0000 μB/atom

Cell and atoms, written as extended XYZ:
```
12
Lattice="7.5808 0.2125 0.0000 2.3379 7.2299 0.0000 1.1690 3.6149 6.5961" Properties=species:S:1:pos:R:3 pbc="T T T"
Tb 2.3379 7.2299 4.4063
Tb 1.1690 3.6149 2.1898
Tb 4.9594 3.7212 4.4911
Tb 4.9593 3.7212 0.0000
Tb 6.1283 7.3361 2.1050
Te 7.4141 5.6143 4.3504
Te 3.6736 5.4430 2.2458
Te 6.2451 1.9994 2.2458
Te 7.4340 5.5323 0.0000
Te 2.4847 1.9101 0.0000
Te 4.8425 9.0580 4.3504
Pm 0.0000 0.0000 0.0000
```